{
  "formula": "ReWO6",
  "functional": "PBEsol",
  "state": "optimized geometry",
  "m_tot_mub_per_atom": 0.00,
  "spacegroup": "Fm-3m, No. 225",
  "dft_energy_ev_per_cell": -73.52,
  "lattice_angstrom": [[0.000, 3.785, 3.785], [3.785, 0.000, 3.785], [3.785, 3.785, 0.000]],
  "species": ["Re", "W", "O", "O", "O", "O", "O", "O"],
  "fractional_positions": [[0.000, 0.000, 0.000], [0.500, 0.500, 0.500], [0.248, 0.248, 0.752], [0.248, 0.752, 0.248], [0.248, 0.752, 0.752], [0.752, 0.248, 0.248], [0.752, 0.248, 0.752], [0.752, 0.752, 0.248]]
}



{
  "formula": "Y7ReO14",
  "functional": "PBEsol",
  "state": "optimized geometry",
  "m_tot_mub_per_atom": 0.00,
  "polymorph_energy_kj_per_mol_fu": 0.0,
  "spacegroup": "Pnnm, No. 58",
  "lattice_angstrom": [[7.504, 0.000, 0.000], [0.000, 10.512, 0.000], [0.000, 0.000, 7.453]],
  "species": ["Y", "Y", "Y", "Y", "Y", "Y", "Y", "Y", "Y", "Y", "Y", "Y", "Y", "Y", "Re", "Re", "O", "O", "O", "O", "O", "O", "O", "O", "O", "O", "O", "O", "O", "O", "O", "O", "O", "O", "O", "O", "O", "O", "O", "O", "O", "O", "O", "O"],
  "fractional_positions": [[0.000, 0.000, 0.000], [0.000, 0.000, 0.500], [0.000, 0.500, 0.000], [0.238, 0.265, 0.267], [0.238, 0.265, 0.733], [0.262, 0.765, 0.233], [0.262, 0.765, 0.767], [0.500, 0.000, 0.500], [0.500, 0.500, 0.000], [0.500, 0.500, 0.500], [0.738, 0.235, 0.233], [0.738, 0.235, 0.767], [0.762, 0.735, 0.267], [0.762, 0.735, 0.733], [0.000, 0.500, 0.500], [0.500, 0.000, 0.000], [0.008, 0.134, 0.231], [0.008, 0.134, 0.769], [0.064, 0.613, 0.318], [0.064, 0.613, 0.682], [0.225, 0.365, 0.000], [0.226, 0.417, 0.500], [0.235, 0.636, 0.000], [0.265, 0.136, 0.500], [0.274, 0.917, 0.000], [0.275, 0.865, 0.500], [0.436, 0.113, 0.182], [0.436, 0.113, 0.818], [0.492, 0.634, 0.269], [0.492, 0.634, 0.731], [0.508, 0.366, 0.269], [0.508, 0.366, 0.731], [0.564, 0.887, 0.182], [0.564, 0.887, 0.818], [0.725, 0.135, 0.500], [0.726, 0.083, 0.000], [0.735, 0.864, 0.500], [0.765, 0.364, 0.000], [0.774, 0.583, 0.500], [0.775, 0.635, 0.000], [0.936, 0.387, 0.318], [0.936, 0.387, 0.682], [0.992, 0.866, 0.231], [0.992, 0.866, 0.769]]
}



{
  "formula": "Y3ReO8",
  "functional": "PBEsol",
  "state": "optimized geometry",
  "m_tot_mub_per_atom": 0.00,
  "spacegroup": "P2_1/c, No. 14",
  "dft_energy_ev_per_cell": -442.26,
  "lattice_angstrom": [[7.148, 0.000, 0.000], [0.000, 5.981, 0.000], [-5.161, 0.000, 13.333]],
  "species": ["Y", "Y", "Y", "Y", "Y", "Y", "Y", "Y", "Y", "Y", "Y", "Y", "Re", "Re", "Re", "Re", "O", "O", "O", "O", "O", "O", "O", "O", "O", "O", "O", "O", "O", "O", "O", "O", "O", "O", "O", "O", "O", "O", "O", "O", "O", "O", "O", "O", "O", "O", "O", "O"],
  "fractional_positions": [[0.094, 0.242, 0.202], [0.094, 0.258, 0.702], [0.163, 0.198, 0.446], [0.163, 0.302, 0.946], [0.394, 0.686, 0.334], [0.394, 0.814, 0.834], [0.606, 0.186, 0.166], [0.606, 0.314, 0.666], [0.837, 0.698, 0.054], [0.837, 0.802, 0.554], [0.906, 0.742, 0.298], [0.906, 0.758, 0.798], [0.320, 0.746, 0.090], [0.320, 0.754, 0.590], [0.680, 0.246, 0.410], [0.680, 0.254, 0.910], [0.083, 0.694, 0.979], [0.083, 0.806, 0.479], [0.147, 0.030, 0.843], [0.147, 0.470, 0.343], [0.166, 0.646, 0.171], [0.166, 0.854, 0.671], [0.189, 0.530, 0.827], [0.189, 0.970, 0.327], [0.247, 0.048, 0.096], [0.247, 0.452, 0.596], [0.382, 0.054, 0.589], [0.382, 0.446, 0.089], [0.465, 0.203, 0.785], [0.465, 0.297, 0.285], [0.479, 0.695, 0.519], [0.479, 0.805, 0.019], [0.521, 0.195, 0.981], [0.521, 0.305, 0.481], [0.535, 0.703, 0.715], [0.535, 0.797, 0.215], [0.618, 0.554, 0.911], [0.618, 0.946, 0.411], [0.753, 0.548, 0.404], [0.753, 0.952, 0.904], [0.811, 0.030, 0.673], [0.811, 0.470, 0.173], [0.834, 0.146, 0.329], [0.834, 0.354, 0.829], [0.853, 0.530, 0.657], [0.853, 0.970, 0.157], [0.917, 0.194, 0.521], [0.917, 0.306, 0.021]]
}



{
  "formula": "Y7ReO14",
  "functional": "PBEsol",
  "state": "optimized geometry",
  "m_tot_mub_per_atom": 0.00,
  "polymorph_energy_kj_per_mol_fu": 119.2,
  "spacegroup": "R-3m, No. 166",
  "lattice_angstrom": [[3.699, 2.136, 6.272], [-3.699, 2.136, 6.272], [0.000, -4.272, 6.272]],
  "species": ["Y", "Y", "Y", "Y", "Y", "Y", "Y", "Re", "O", "O", "O", "O", "O", "O", "O", "O", "O", "O", "O", "O", "O", "O"],
  "fractional_positions": [[0.000, 0.000, 0.000], [0.000, 0.000, 0.500], [0.000, 0.500, 0.000], [0.000, 0.500, 0.500], [0.500, 0.000, 0.000], [0.500, 0.000, 0.500], [0.500, 0.500, 0.000], [0.500, 0.500, 0.500], [0.134, 0.134, 0.599], [0.134, 0.599, 0.134], [0.137, 0.137, 0.137], [0.199, 0.572, 0.572], [0.401, 0.866, 0.866], [0.428, 0.428, 0.801], [0.428, 0.801, 0.428], [0.572, 0.199, 0.572], [0.572, 0.572, 0.199], [0.599, 0.134, 0.134], [0.801, 0.428, 0.428], [0.863, 0.863, 0.863], [0.866, 0.401, 0.866], [0.866, 0.866, 0.401]]
}



{
  "formula": "Zn3ReO",
  "functional": "PBEsol",
  "state": "optimized geometry",
  "m_tot_mub_per_atom": 0.71,
  "spacegroup": "Pm-3m, No. 221",
  "dft_energy_ev_per_cell": -15.61,
  "lattice_angstrom": [[4.825, 0.000, 0.000], [0.000, 4.825, 0.000], [0.000, 0.000, 4.825]],
  "species": ["Zn", "Zn", "Zn", "Re", "O"],
  "fractional_positions": [[0.000, 0.000, 0.500], [0.000, 0.500, 0.000], [0.500, 0.000, 0.000], [0.000, 0.000, 0.000], [0.500, 0.500, 0.500]]
}



{
  "formula": "Zr9Re4O3",
  "functional": "PBEsol",
  "state": "optimized geometry",
  "m_tot_mub_per_atom": 0.00,
  "spacegroup": "P6_3/mmc, No. 194",
  "dft_energy_ev_per_cell": -341.43,
  "lattice_angstrom": [[8.431, 0.000, 0.000], [-4.216, 7.302, 0.000], [0.000, 0.000, 8.565]],
  "species": ["Zr", "Zr", "Zr", "Zr", "Zr", "Zr", "Zr", "Zr", "Zr", "Zr", "Zr", "Zr", "Zr", "Zr", "Zr", "Zr", "Zr", "Zr", "Re", "Re", "Re", "Re", "Re", "Re", "Re", "Re", "O", "O", "O", "O", "O", "O"],
  "fractional_positions": [[0.093, 0.547, 0.250], [0.203, 0.405, 0.560], [0.203, 0.405, 0.940], [0.203, 0.797, 0.560], [0.203, 0.797, 0.940], [0.405, 0.203, 0.060], [0.405, 0.203, 0.440], [0.453, 0.547, 0.250], [0.453, 0.907, 0.250], [0.547, 0.093, 0.750], [0.547, 0.453, 0.750], [0.595, 0.797, 0.560], [0.595, 0.797, 0.940], [0.797, 0.203, 0.060], [0.797, 0.203, 0.440], [0.797, 0.595, 0.060], [0.797, 0.595, 0.440], [0.907, 0.453, 0.750], [0.000, 0.000, 0.000], [0.000, 0.000, 0.500], [0.108, 0.215, 0.250], [0.108, 0.892, 0.250], [0.215, 0.108, 0.750], [0.785, 0.892, 0.250], [0.892, 0.108, 0.750], [0.892, 0.785, 0.750], [0.000, 0.500, 0.000], [0.000, 0.500, 0.500], [0.500, 0.000, 0.000], [0.500, 0.000, 0.500], [0.500, 0.500, 0.000], [0.500, 0.500, 0.500]]
}



{
  "formula": "SbRhO4",
  "functional": "PBEsol",
  "state": "optimized geometry",
  "m_tot_mub_per_atom": 0.00,
  "spacegroup": "Cmmm, No. 65",
  "dft_energy_ev_per_cell": -80.94,
  "lattice_angstrom": [[6.440, 0.000, 0.000], [0.000, 6.544, 0.000], [0.000, 0.000, 3.180]],
  "species": ["Sb", "Sb", "Rh", "Rh", "O", "O", "O", "O", "O", "O", "O", "O"],
  "fractional_positions": [[0.000, 0.000, 0.000], [0.500, 0.500, 0.000], [0.000, 0.500, 0.500], [0.500, 0.000, 0.500], [0.000, 0.194, 0.500], [0.000, 0.806, 0.500], [0.191, 0.500, 0.000], [0.309, 0.000, 0.000], [0.500, 0.306, 0.500], [0.500, 0.694, 0.500], [0.691, 0.000, 0.000], [0.809, 0.500, 0.000]]
}



{
  "formula": "SbRhO3",
  "functional": "PBEsol",
  "state": "optimized geometry",
  "m_tot_mub_per_atom": 0.45,
  "spacegroup": "Pm-3m, No. 221",
  "dft_energy_ev_per_cell": -29.62,
  "lattice_angstrom": [[3.952, 0.000, 0.000], [0.000, 3.952, 0.000], [0.000, 0.000, 3.952]],
  "species": ["Sb", "Rh", "O", "O", "O"],
  "fractional_positions": [[0.000, 0.000, 0.000], [0.500, 0.500, 0.500], [0.000, 0.000, 0.500], [0.000, 0.500, 0.000], [0.500, 0.000, 0.000]]
}



{
  "formula": "SbRhO3",
  "functional": "PBEsol",
  "state": "optimized geometry",
  "m_tot_mub_per_atom": 0.00,
  "spacegroup": "Pm-3m, No. 221",
  "dft_energy_ev_per_cell": -30.99,
  "lattice_angstrom": [[3.896, 0.000, 0.000], [0.000, 3.896, 0.000], [0.000, 0.000, 3.896]],
  "species": ["Sb", "Rh", "O", "O", "O"],
  "fractional_positions": [[0.000, 0.000, 0.000], [0.500, 0.500, 0.500], [0.000, 0.500, 0.500], [0.500, 0.000, 0.500], [0.500, 0.500, 0.000]]
}



{
  "formula": "Sb3RhO",
  "functional": "PBEsol",
  "state": "optimized geometry",
  "m_tot_mub_per_atom": 0.00,
  "spacegroup": "Pm-3m, No. 221",
  "dft_energy_ev_per_cell": -26.81,
  "lattice_angstrom": [[4.591, 0.000, 0.000], [0.000, 4.591, 0.000], [0.000, 0.000, 4.591]],
  "species": ["Sb", "Sb", "Sb", "Rh", "O"],
  "fractional_positions": [[0.000, 0.000, 0.500], [0.000, 0.500, 0.000], [0.500, 0.000, 0.000], [0.500, 0.500, 0.500], [0.000, 0.000, 0.000]]
}



{
  "formula": "SbRhO4",
  "functional": "PBEsol",
  "state": "optimized geometry",
  "m_tot_mub_per_atom": 0.00,
  "spacegroup": "I4_1md, No. 109",
  "dft_energy_ev_per_cell": -81.30,
  "lattice_angstrom": [[-3.268, 3.268, 3.134], [3.268, -3.268, 3.134], [3.268, 3.268, -3.134]],
  "species": ["Sb", "Sb", "Rh", "Rh", "O", "O", "O", "O", "O", "O", "O", "O"],
  "fractional_positions": [[0.000, 0.000, 0.000], [0.750, 0.250, 0.500], [0.257, 0.757, 0.500], [0.507, 0.507, 0.000], [0.002, 0.312, 0.309], [0.002, 0.693, 0.691], [0.062, 0.252, 0.809], [0.443, 0.252, 0.191], [0.505, 0.198, 0.693], [0.505, 0.811, 0.307], [0.561, 0.755, 0.807], [0.948, 0.755, 0.193]]
}



{
  "formula": "ScSnRh2O",
  "functional": "PBEsol",
  "state": "optimized geometry",
  "m_tot_mub_per_atom": 0.00,
  "spacegroup": "P4/mmm, No. 123",
  "dft_energy_ev_per_cell": -31.34,
  "lattice_angstrom": [[4.891, 0.000, 0.000], [0.000, 4.891, 0.000], [0.000, 0.000, 3.942]],
  "species": ["Sc", "Sn", "Rh", "Rh", "O"],
  "fractional_positions": [[0.000, 0.000, 0.000], [0.500, 0.500, 0.500], [0.000, 0.500, 0.500], [0.500, 0.000, 0.500], [0.500, 0.500, 0.000]]
}



{
  "formula": "RhSeO3",
  "functional": "PBEsol",
  "state": "optimized geometry",
  "m_tot_mub_per_atom": 0.00,
  "spacegroup": "Pm-3m, No. 221",
  "dft_energy_ev_per_cell": -27.78,
  "lattice_angstrom": [[3.842, 0.000, 0.000], [0.000, 3.842, 0.000], [0.000, 0.000, 3.842]],
  "species": ["Rh", "Se", "O", "O", "O"],
  "fractional_positions": [[0.000, 0.000, 0.000], [0.500, 0.500, 0.500], [0.000, 0.000, 0.500], [0.000, 0.500, 0.000], [0.500, 0.000, 0.000]]
}



{
  "formula": "RhSeO3",
  "functional": "PBEsol",
  "state": "optimized geometry",
  "m_tot_mub_per_atom": 0.55,
  "spacegroup": "Pm-3m, No. 221",
  "dft_energy_ev_per_cell": -26.06,
  "lattice_angstrom": [[3.864, 0.000, 0.000], [0.000, 3.864, 0.000], [0.000, 0.000, 3.864]],
  "species": ["Rh", "Se", "O", "O", "O"],
  "fractional_positions": [[0.000, 0.000, 0.000], [0.500, 0.500, 0.500], [0.000, 0.500, 0.500], [0.500, 0.000, 0.500], [0.500, 0.500, 0.000]]
}



{
  "formula": "Rh2SeO",
  "functional": "PBEsol",
  "state": "optimized geometry",
  "m_tot_mub_per_atom": 0.11,
  "spacegroup": "Fm-3m, No. 225",
  "dft_energy_ev_per_cell": -100.87,
  "lattice_angstrom": [[5.819, 0.000, 0.000], [0.000, 5.819, 0.000], [0.000, 0.000, 5.819]],
  "species": ["Rh", "Rh", "Rh", "Rh", "Rh", "Rh", "Rh", "Rh", "Se", "Se", "Se", "Se", "O", "O", "O", "O"],
  "fractional_positions": [[0.250, 0.250, 0.250], [0.250, 0.250, 0.750], [0.250, 0.750, 0.250], [0.250, 0.750, 0.750], [0.750, 0.250, 0.250], [0.750, 0.250, 0.750], [0.750, 0.750, 0.250], [0.750, 0.750, 0.750], [0.000, 0.000, 0.000], [0.000, 0.500, 0.500], [0.500, 0.000, 0.500], [0.500, 0.500, 0.000], [0.000, 0.000, 0.500], [0.000, 0.500, 0.000], [0.500, 0.000, 0.000], [0.500, 0.500, 0.500]]
}



{
  "formula": "SiRh2O",
  "functional": "PBEsol",
  "state": "optimized geometry",
  "m_tot_mub_per_atom": 0.00,
  "spacegroup": "Fm-3m, No. 225",
  "dft_energy_ev_per_cell": -113.04,
  "lattice_angstrom": [[5.686, 0.000, 0.000], [0.000, 5.686, 0.000], [0.000, 0.000, 5.686]],
  "species": ["Si", "Si", "Si", "Si", "Rh", "Rh", "Rh", "Rh", "Rh", "Rh", "Rh", "Rh", "O", "O", "O", "O"],
  "fractional_positions": [[0.000, 0.000, 0.000], [0.000, 0.500, 0.500], [0.500, 0.000, 0.500], [0.500, 0.500, 0.000], [0.250, 0.250, 0.250], [0.250, 0.250, 0.750], [0.250, 0.750, 0.250], [0.250, 0.750, 0.750], [0.750, 0.250, 0.250], [0.750, 0.250, 0.750], [0.750, 0.750, 0.250], [0.750, 0.750, 0.750], [0.000, 0.000, 0.500], [0.000, 0.500, 0.000], [0.500, 0.000, 0.000], [0.500, 0.500, 0.500]]
}



{
  "formula": "Sr2RhO4",
  "functional": "PBEsol",
  "state": "optimized geometry",
  "m_tot_mub_per_atom": 0.07,
  "polymorph_energy_kj_per_mol_fu": 0.0,
  "spacegroup": "I4_1/acd, No. 142",
  "lattice_angstrom": [[-2.702, 2.702, 12.894], [2.702, -2.702, 12.894], [2.702, 2.702, -12.894]],
  "species": ["Sr", "Sr", "Sr", "Sr", "Sr", "Sr", "Sr", "Sr", "Rh", "Rh", "Rh", "Rh", "O", "O", "O", "O", "O", "O", "O", "O", "O", "O", "O", "O", "O", "O", "O", "O"],
  "fractional_positions": [[0.050, 0.300, 0.750], [0.200, 0.450, 0.750], [0.300, 0.050, 0.250], [0.450, 0.200, 0.250], [0.550, 0.800, 0.750], [0.700, 0.950, 0.750], [0.800, 0.550, 0.250], [0.950, 0.700, 0.250], [0.125, 0.875, 0.250], [0.375, 0.625, 0.750], [0.625, 0.375, 0.250], [0.875, 0.125, 0.750], [0.045, 0.795, 0.250], [0.071, 0.821, 0.643], [0.179, 0.321, 0.250], [0.205, 0.955, 0.250], [0.295, 0.545, 0.750], [0.321, 0.571, 0.143], [0.429, 0.071, 0.750], [0.455, 0.705, 0.750], [0.545, 0.295, 0.250], [0.571, 0.929, 0.250], [0.679, 0.429, 0.857], [0.705, 0.455, 0.250], [0.795, 0.045, 0.750], [0.821, 0.679, 0.750], [0.929, 0.179, 0.357], [0.955, 0.205, 0.750]]
}



{
  "formula": "Sr4RhO6",
  "functional": "PBEsol",
  "state": "optimized geometry",
  "m_tot_mub_per_atom": 0.09,
  "spacegroup": "R-3c, No. 167",
  "dft_energy_ev_per_cell": -145.26,
  "lattice_angstrom": [[4.825, 2.785, 3.935], [-4.825, 2.785, 3.935], [0.000, -5.571, 3.935]],
  "species": ["Sr", "Sr", "Sr", "Sr", "Sr", "Sr", "Sr", "Sr", "Rh", "Rh", "O", "O", "O", "O", "O", "O", "O", "O", "O", "O", "O", "O"],
  "fractional_positions": [[0.117, 0.750, 0.383], [0.250, 0.250, 0.250], [0.250, 0.617, 0.883], [0.383, 0.117, 0.750], [0.617, 0.883, 0.250], [0.750, 0.383, 0.117], [0.750, 0.750, 0.750], [0.883, 0.250, 0.617], [0.000, 0.000, 0.000], [0.500, 0.500, 0.500], [0.059, 0.927, 0.717], [0.073, 0.283, 0.941], [0.217, 0.427, 0.559], [0.283, 0.941, 0.073], [0.427, 0.559, 0.217], [0.441, 0.783, 0.573], [0.559, 0.217, 0.427], [0.573, 0.441, 0.783], [0.717, 0.059, 0.927], [0.783, 0.573, 0.441], [0.927, 0.717, 0.059], [0.941, 0.073, 0.283]]
}



{
  "formula": "Sr2RhO4",
  "functional": "PBEsol",
  "state": "optimized geometry",
  "m_tot_mub_per_atom": 0.13,
  "polymorph_energy_kj_per_mol_fu": 12.9,
  "spacegroup": "I4/mmm, No. 139",
  "lattice_angstrom": [[3.871, 0.000, 0.000], [0.000, 3.871, 0.000], [0.000, 0.000, 12.552]],
  "species": ["Sr", "Sr", "Sr", "Sr", "Rh", "Rh", "O", "O", "O", "O", "O", "O", "O", "O"],
  "fractional_positions": [[0.000, 0.000, 0.146], [0.000, 0.000, 0.854], [0.500, 0.500, 0.354], [0.500, 0.500, 0.646], [0.000, 0.000, 0.500], [0.500, 0.500, 0.000], [0.000, 0.000, 0.338], [0.000, 0.000, 0.662], [0.000, 0.500, 0.000], [0.000, 0.500, 0.500], [0.500, 0.000, 0.000], [0.500, 0.000, 0.500], [0.500, 0.500, 0.162], [0.500, 0.500, 0.838]]
}